! CoCuNi PBE optimized geometry; values from VASP
&SYSTEM
  ibrav = 0, nat = 3, ntyp = 3
/
ATOMIC_SPECIES
Co 58.93 Co.upf
Cu 63.55 Cu.upf
Ni 58.69 Ni.upf
CELL_PARAMETERS angstrom
6.623 -0.011 0.009
5.977 2.351 -0.131
0.646 -0.789 2.232
ATOMIC_POSITIONS crystal
Co 0.003 0.003 0.997
Cu 0.333 0.333 0.667
Ni 0.664 0.664 0.336
! E_form (meV/atom): 128
! Final energy (eV per formula unit): -16.60
! E above lowest polymorph (meV per atom): 115